# 1
First-principles (GGA-PBE) data for crystalline LuH3 at its relaxed geometry, as listed in Alexandria via LeMat-Bulk.

```
LuH3
1.0
-4.4166 1.7399 -3.8231
-1.1061 -0.3334 5.9846
1.8055 6.0579 0.6712
H Lu
18 6
direct
0.0305 0.6785 0.4089
0.3215 0.3520 0.4089
0.0305 0.3520 0.9089
0.6667 0.3333 0.3166
0.3333 0.6667 0.1834
0.3215 0.9695 0.9089
0.3520 0.3215 0.0911
0.6785 0.0305 0.0911
0.3520 0.0305 0.5911
0.6667 0.3333 0.8166
0.6480 0.9695 0.4089
0.9695 0.3215 0.5911
0.3333 0.6667 0.6834
0.6785 0.6480 0.5911
0.0000 0.0000 0.7500
0.9695 0.6480 0.0911
0.0000 0.0000 0.2500
0.6480 0.6785 0.9089
0.6628 0.6628 0.2500
0.6628 0.0000 0.7500
0.3372 0.0000 0.2500
0.3372 0.3372 0.7500
0.0000 0.6628 0.7500
0.0000 0.3372 0.2500
```

- SG: P-3c1
- Crystal system: trigonal

=====

# 2
First-principles (GGA-PBE) data for crystalline La2ZnCl at its relaxed geometry, as listed in Alexandria via LeMat-Bulk.

```
La2ZnCl
1.0
-4.3942 -3.6524 -2.1413
2.1765 -4.5958 3.3727
-5.6683 -2.0336 6.4066
Zn Cl La
2 2 4
direct
0.0000 0.0000 0.0000
0.7500 0.2500 0.5000
0.2500 0.7500 0.5000
0.5000 0.5000 0.0000
0.6117 0.1250 0.2500
0.3750 0.3883 0.7500
0.1383 0.6250 0.2500
0.8750 0.8617 0.7500
```

- Formation energy without anion corrections: -0.5084 eV per atom
- SG: I-42d
- Crystal system: tetragonal
- Distance to the lowest polymorph of the same formula: 0.422 eV/atom

=====

Number 1: raw total energy -102.41 eV for the cell shown, magnetic moment 0.00 μB/f.u.. Number 2: raw total energy -30.02 eV for the cell shown, magnetic moment 0.00 μB/f.u..